VASP calculation (GGA-PBE) on a geometry-optimized Ho2Si7Pd12 structure.

Geometry as POSCAR:
```
Ho2Si7Pd12
1.0
3.825 0.000 0.000
0.000 8.678 -5.010
0.000 0.000 10.021
Si Pd Ho
7 12 2
direct
0.750 0.290 0.408
0.500 0.000 0.000
0.250 0.408 0.118
0.250 0.882 0.290
0.250 0.710 0.592
0.750 0.118 0.710
0.750 0.592 0.882
0.249 0.444 0.380
0.250 0.147 0.888
0.750 0.853 0.112
0.751 0.556 0.620
0.250 0.112 0.258
0.751 0.064 0.444
0.250 0.742 0.853
0.751 0.380 0.936
0.249 0.620 0.064
0.750 0.888 0.742
0.249 0.936 0.556
0.750 0.258 0.147
0.246 0.333 0.667
0.754 0.667 0.333
```

Results
Raw formation energy, eV/atom: -0.81
Space-group type: No. 147
Spin magnetization, Bohr magnetons per cell: 0.00

VASP calculation (GGA-PBE) on a geometry-optimized Ho2Si3Pd structure.

Geometry as POSCAR:
```
Ho2Si3Pd
1.0
3.952 0.000 0.000
0.000 4.168 0.000
0.000 0.000 7.014
Si Pd Ho
3 1 2
direct
0.500 0.000 0.667
0.500 0.500 0.168
0.500 0.500 0.835
0.500 0.000 0.331
0.000 0.500 0.507
0.000 0.000 0.992
```

Results
Raw formation energy, eV/atom: -0.84
Space-group type: No. 25
Spin magnetization, Bohr magnetons per cell: 0.00

VASP calculation (GGA-PBE) on a geometry-optimized HoSiPd structure.

Geometry as POSCAR:
```
HoSiPd
1.0
-0.308 -0.277 -4.215
-4.955 -2.020 -1.633
-2.497 4.465 -2.239
Si Ho Pd
2 2 2
direct
0.652 0.401 0.296
0.348 0.599 0.704
0.051 0.188 0.709
0.949 0.812 0.291
0.318 0.245 0.118
0.682 0.755 0.882
```

Results
Raw formation energy, eV/atom: -0.94
Space-group type: No. 12
Spin magnetization, Bohr magnetons per cell: 0.00

VASP calculation (GGA-PBE) on a geometry-optimized HoSiPd2 structure.

Geometry as POSCAR:
```
HoSiPd2
1.0
-3.953 -3.833 0.444
0.688 0.098 6.971
-5.046 5.253 0.424
Pd Ho Si
8 4 4
direct
0.406 0.948 0.822
0.594 0.448 0.178
0.406 0.552 0.822
0.094 0.948 0.322
0.906 0.052 0.678
0.094 0.552 0.322
0.594 0.052 0.178
0.906 0.448 0.678
0.640 0.750 0.473
0.360 0.250 0.527
0.140 0.250 0.027
0.860 0.750 0.973
0.140 0.750 0.622
0.360 0.750 0.122
0.860 0.250 0.378
0.640 0.250 0.878
```

Results
Raw formation energy, eV/atom: -0.98
Space-group type: No. 62
Spin magnetization, Bohr magnetons per cell: 0.00

VASP calculation (GGA-PBE) on a geometry-optimized HoSi2Pd7 structure.

Geometry as POSCAR:
```
HoSi2Pd7
1.0
4.463 0.000 0.000
0.000 6.891 0.029
0.000 -3.014 6.197
Pd Ho Si
7 1 2
direct
0.000 0.758 0.242
0.500 0.500 0.500
0.500 0.937 0.681
0.500 0.681 0.937
0.500 0.319 0.063
0.000 0.242 0.758
0.500 0.063 0.319
0.000 0.000 0.000
0.500 0.698 0.302
0.500 0.302 0.698
```

Results
Raw formation energy, eV/atom: -0.46
Energy relative to the lowest polymorph listed for this composition, meV/atom: 307.9
Space-group type: No. 65
Spin magnetization, Bohr magnetons per cell: 0.00

VASP calculation (GGA-PBE) on a geometry-optimized HoSi3Pd3 structure.

Geometry as POSCAR:
```
HoSi3Pd3
1.0
-5.638 2.255 2.512
-2.295 -6.147 0.366
2.475 -0.563 6.061
Pd Si Ho
6 6 2
direct
0.500 0.750 0.000
0.250 0.000 0.500
0.000 0.500 0.750
0.500 0.250 0.000
0.000 0.500 0.250
0.750 0.000 0.500
0.500 0.000 0.250
0.000 0.750 0.500
0.500 0.000 0.750
0.000 0.250 0.500
0.250 0.500 0.000
0.750 0.500 0.000
0.000 0.000 0.000
0.500 0.500 0.500
```

Results
Raw formation energy, eV/atom: -0.30
Energy relative to the lowest polymorph listed for this composition, meV/atom: 236.5
Space-group type: No. 223
Spin magnetization, Bohr magnetons per cell: 0.00